La2EuS4 | Alexandria via LeMat-Bulk | PBE | optimized geometry; M_tot = 14.00 μB/cell; N(E_F) = 8.256 states/eV/cell; uncorrected formation energy = -2.20 eV/atom
1.0
-0.6054 5.8855 4.7250
-6.7029 -1.3716 -3.2438
2.2074 -6.1156 3.8804
S Eu La
8 2 4
Direct
0.8720 0.6220 0.1012
0.8720 0.6220 0.6012
0.3780 0.9792 0.2500
0.7291 0.1280 0.7500
0.3780 0.4791 0.2500
0.0208 0.2709 0.3988
0.2292 0.1280 0.7500
0.5209 0.7708 0.8988
0.0000 0.0000 0.0000
0.2500 0.7500 0.5000
0.4957 0.3750 0.6207
0.6250 0.2457 0.1207
0.7543 0.8750 0.3793
0.1250 0.5043 0.8793